DFT (PBE) results for an optimized crystal structure of K2MnW.

The space group is I4/mmm (No. 139) and the conventional cell measures 3.920, 3.920 and 12.038 Å, with angles of 90.00, 90.00 and 90.00 degrees. Symmetry generates all atoms from K at (0.000, 0.500, 0.250), Mn at (0.000, 0.000, 0.000) and W at (0.000, 0.000, 0.500).

The calculation puts the energy of formation at 1.61 eV per atom. The calculation puts the density of states at the Fermi level at 8.31 states/eV per cell. For the total energy, the calculation gives -35.72 eV per cell. As for the distance to the lowest polymorph of the same formula: 0.728 eV per atom.

***

DFT (PBE) results for an optimized crystal structure of Ac2HfP2N6.

The space group is R-3m (No. 166, hexagonal axes) and the conventional cell measures 5.7008, 5.7008 and 16.5535 Å, with angles of 90.00, 90.00 and 120.00 degrees. Symmetry generates all atoms from Ac at (0.0000, 0.0000, 0.2327), Hf at (0.0000, 0.0000, 0.0000), P at (0.0000, 0.0000, 0.4363) and N at (0.0138, 0.5069, 0.2546).

For the formation energy (no corrections), the calculation gives -1.24 eV/atom. The calculation puts the density of states at the Fermi level at 0.00 states/eV per cell. For the total energy, the calculation gives -277.77 eV per cell.

***

So what do the calculations give for magnetic moment? Going down the list: 0.40; 0.00 μB per atom.